1.
The following is a GGA-PBEsol calculation of Li2InCu2 after structural relaxation, from Alexandria via LeMat-Bulk.

Computed properties:
For the magnetization, the calculation gives 0.000 μB per atom. The density of states at the Fermi level comes out at 1.3 states/eV per cell. The value obtained for the final energy is -3.0596 eV/atom. The calculation puts the density at 5.47 Mg/m³.

a b c (Å): 3.3734 3.3734 7.2310
angles (deg): 103.49 103.49 90.00
Closest atoms and distances in Å follow each position.
Fractional positions:
Cu 0.2500 0.7500 0.5000  4 Cu 2.39, 4 Li 2.54
Cu 0.7500 0.2500 0.5000  4 Cu 2.39, 4 Li 2.54
In 0.0000 0.0000 0.0000  8 Li 2.82
Li 0.6107 0.6107 0.2215  4 Cu 2.54, 4 In 2.82
Li 0.3893 0.3893 0.7785  4 Cu 2.54, 4 In 2.82

***

2.
The following is a GGA-PBEsol calculation of CaMnZn after structural relaxation, from Alexandria via LeMat-Bulk.

Computed properties:
For the magnetization, the calculation gives 1.148 μB per atom. The density of states at the Fermi level comes out at 3.0 states/eV per cell. The value obtained for the final energy is -3.9497 eV/atom. The calculation puts the density at 4.33 Mg/m³.

a b c (Å): 3.2599 3.2599 6.6845
angles (deg): 90.00 90.00 120.00
Closest atoms and distances in Å follow each position.
Fractional positions:
Zn 0.6667 0.3333 0.3656  3 Mn 2.58
Mn 0.3333 0.6667 0.6291  3 Zn 2.58
Ca 0.0000 0.0000 0.0053  3 Zn 3.06, 3 Mn 3.14, 6 Ca 3.26

***

3.
The following is a GGA-PBEsol calculation of Cu2NiPCl after structural relaxation, from Alexandria via LeMat-Bulk.

Computed properties:
For the magnetization, the calculation gives 0.000 μB per atom. The density of states at the Fermi level comes out at 3.7 states/eV per cell. The value obtained for the final energy is -4.0397 eV/atom. The calculation puts the density at 4.97 Mg/m³. The energy relative to the elements, uncorrected comes out at 0.4853 eV/atom.

a b c (Å): 3.9501 4.6171 4.6171
angles (deg): 90.00 90.00 90.00
Closest atoms and distances in Å follow each position.
Fractional positions:
Ni 0.0000 0.0000 0.0000  2 P 1.98
P 0.5000 0.0000 0.0000  2 Ni 1.98
Cu 0.0000 0.0000 0.5000  2 Ni 2.31
Cu 0.0000 0.5000 0.0000  2 Ni 2.31
Cl 0.5000 0.5000 0.5000  8 Cu 3.04, 4 P 3.26

***

4.
The following is a GGA-PBEsol calculation of Be3AgPd after structural relaxation, from Alexandria via LeMat-Bulk.

Computed properties:
For the magnetization, the calculation gives 0.000 μB per atom. The density of states at the Fermi level comes out at 1.3 states/eV per cell. The value obtained for the final energy is -3.7636 eV/atom. The calculation puts the density at 5.48 Mg/m³.

a b c (Å): 4.1818 4.1818 4.1818
angles (deg): 90.00 90.00 90.00
Closest atoms and distances in Å follow each position.
Fractional positions:
Be 0.0000 0.5000 0.0000  2 Pd 2.09
Be 0.0000 0.0000 0.5000  2 Pd 2.09
Be 0.5000 0.0000 0.0000  2 Pd 2.09
Pd 0.0000 0.0000 0.0000  6 Be 2.09
Ag 0.5000 0.5000 0.5000  12 Be 2.96

***

5.
The following is a GGA-PBEsol calculation of PtRh2Au after structural relaxation, from Alexandria via LeMat-Bulk.

Computed properties:
For the magnetization, the calculation gives 0.000 μB per atom. The calculation puts the energy above the most stable polymorph in this dataset at 66.1 meV/atom. The density of states at the Fermi level comes out at 6.5 states/eV per cell. The value obtained for the final energy is -6.6675 eV/atom. The calculation puts the density at 16.95 Mg/m³.

a b c (Å): 2.7508 4.7363 4.7363
angles (deg): 108.35 90.00 90.00
Closest atoms and distances in Å follow each position.
Fractional positions:
Au 0.5000 0.0000 0.0000  8 Rh 2.74, 2 Au 2.75, 2 Pt 2.77
Pt 0.5000 0.5000 0.5000  8 Rh 2.74, 2 Pt 2.75, 2 Au 2.77
Rh 0.0000 0.5000 0.0000  4 Au 2.74, 4 Pt 2.74, 4 Rh 2.75-2.77
Rh 0.0000 0.0000 0.5000  4 Pt 2.74, 4 Au 2.74, 4 Rh 2.75-2.77

***

6.
The following is a GGA-PBEsol calculation of K3GaF6 after structural relaxation, from Alexandria via LeMat-Bulk.

Computed properties:
For the magnetization, the calculation gives 0.000 μB per atom. The density of states at the Fermi level comes out at 0.0 states/eV per cell. The value obtained for the final energy is -4.6374 eV/atom. The calculation puts the density at 3.03 Mg/m³. The energy relative to the elements, uncorrected comes out at -2.8070 eV/atom.

a b c (Å): 6.1536 6.1536 6.1536
angles (deg): 60.00 60.00 60.00
Closest atoms and distances in Å follow each position.
Fractional positions:
K 0.2500 0.2500 0.2500  12 F 3.09
K 0.7500 0.7500 0.7500  12 F 3.09
K 0.5000 0.5000 0.5000  6 F 2.45
Ga 0.0000 0.0000 0.0000  6 F 1.90
F 0.2184 0.7816 0.2184  1 Ga 1.90
F 0.2184 0.2184 0.7816  1 Ga 1.90
F 0.7816 0.7816 0.2184  1 Ga 1.90
F 0.7816 0.2184 0.2184  1 Ga 1.90
F 0.2184 0.7816 0.7816  1 Ga 1.90
F 0.7816 0.2184 0.7816  1 Ga 1.90